Version a
Crystalline VI2OF at its relaxed geometry, computed with GGA+U.

a = 5.190 Å, b = 5.190 Å, c = 3.847 Å
α = 90.00°, β = 90.00°, γ = 90.00°
Last column: magnetic moment on the atom in μB.
Fractional coordinates of all 5 atoms:
I  0.000  0.500  0.000  0.10
I  0.500  0.000  0.000  0.10
F  0.000  0.000  0.000  0.02
O  0.000  0.000  0.500  0.09
V  0.500  0.500  0.500  -1.58

The calculation puts the total magnetization at 1.4 μB per formula unit. The density of states at the Fermi level is 7.12 states/eV/cell.

Version b
Crystalline VI2OF at its relaxed geometry, computed with GGA+U.

a = 5.396 Å, b = 5.396 Å, c = 3.620 Å
α = 90.00°, β = 90.00°, γ = 90.00°
Last column: magnetic moment on the atom in μB.
Fractional coordinates of all 5 atoms:
I  0.000  0.500  0.000  0.04
I  0.500  0.000  0.000  0.04
F  0.500  0.500  0.500  0.00
O  0.000  0.000  0.500  0.04
V  0.000  0.000  0.000  -0.12

The calculation puts the total magnetization at 0.0 μB per formula unit. The density of states at the Fermi level is 3.04 states/eV/cell.

In order of decreasing stability: version b, version a.

Version a
Crystalline WIOF2 at its relaxed geometry, computed with GGA+U.

a = 4.448 Å, b = 4.448 Å, c = 4.029 Å
α = 90.00°, β = 90.00°, γ = 90.00°
Last column: magnetic moment on the atom in μB.
Fractional coordinates of all 5 atoms:
I  0.500  0.500  0.500  -0.60
O  0.000  0.000  0.500  -0.41
W  0.000  0.000  0.000  2.27
F  0.000  0.500  0.000  -0.03
F  0.500  0.000  0.000  -0.03

The calculation puts the total magnetization at 1.0 μB per formula unit. The density of states at the Fermi level is 1.44 states/eV/cell.

Version b
Crystalline WIOF2 at its relaxed geometry, computed with GGA+U.

a = 5.024 Å, b = 5.024 Å, c = 4.058 Å
α = 90.00°, β = 90.00°, γ = 90.00°
Last column: magnetic moment on the atom in μB.
Fractional coordinates of all 5 atoms:
I  0.000  0.000  0.000  -0.04
O  0.000  0.000  0.500  -0.01
W  0.500  0.500  0.500  3.86
F  0.000  0.500  0.000  0.05
F  0.500  0.000  0.000  0.05

The calculation puts the total magnetization at 4.7 μB per formula unit. The density of states at the Fermi level is 3.19 states/eV/cell.

In order of decreasing stability: version a, version b.